# 1
Compound: CdPd9
Source: OQMD
Functional: GGA-PBE
Structure: relaxed

Formation enthalpy at 0 K in meV per atom: -21
ΔE to the lowest computed polymorph in meV/atom: 0.0

Cell and atoms, written as CIF:
```
data_CdPd9
_chemical_formula_sum 'Cd2 Pd18'
_symmetry_space_group_name_H-M 'P m m n'
_symmetry_Int_Tables_number 59
_cell_length_a 2.8454
_cell_length_b 3.8718
_cell_length_c 41.6028
_cell_angle_alpha 90.00
_cell_angle_beta 90.00
_cell_angle_gamma 90.00
loop_
_symmetry_equiv_pos_as_xyz
'x,y,z'
'-x,-y,-z'
'-x+1/2,-y+1/2,z'
'x+1/2,y+1/2,-z'
'x+1/2,-y,-z'
'-x+1/2,y,z'
'-x,y+1/2,-z'
'x,-y+1/2,z'
loop_
_atom_site_label
_atom_site_type_symbol
_atom_site_fract_x
_atom_site_fract_y
_atom_site_fract_z
_atom_site_occupancy
Cd1 Cd 0.2500 0.2500 0.1777 1
Pd1 Pd 0.2500 0.2500 0.2473 1
Pd2 Pd 0.2500 0.2500 0.3152 1
Pd3 Pd 0.2500 0.2500 0.3826 1
Pd4 Pd 0.2500 0.2500 0.4497 1
Pd5 Pd 0.2500 0.2500 0.5168 1
Pd6 Pd 0.2500 0.2500 0.5838 1
Pd7 Pd 0.2500 0.2500 0.6511 1
Pd8 Pd 0.2500 0.2500 0.7190 1
Pd9 Pd 0.2500 0.2500 0.7884 1
```

=====

# 2
Compound: CdPd2
Source: OQMD
Functional: GGA-PBE
Structure: relaxed

Formation enthalpy at 0 K in meV per atom: -315

Cell and atoms, written as CIF:
```
data_CdPd2
_chemical_formula_sum 'Cd2 Pd4'
_symmetry_space_group_name_H-M 'I m m m'
_symmetry_Int_Tables_number 71
_symmetry_space_group_name_Hall '-I 2 2'
_cell_length_a 2.9127
_cell_length_b 4.0098
_cell_length_c 8.5844
_cell_angle_alpha 90.00
_cell_angle_beta 90.00
_cell_angle_gamma 90.00
loop_
_atom_site_label
_atom_site_type_symbol
_atom_site_fract_x
_atom_site_fract_y
_atom_site_fract_z
_atom_site_occupancy
Cd1 Cd 0.0000 0.0000 0.0000 1
Pd1 Pd 0.0000 0.0000 0.3327 1
```

=====

# 3
Compound: CdPd124
Source: OQMD
Functional: GGA-PBE
Structure: relaxed

Formation enthalpy at 0 K in meV per atom: -12

Cell and atoms, written as CIF:
```
data_CdPd124
_chemical_formula_sum 'Cd4 Pd496'
_symmetry_space_group_name_H-M 'F m -3 m'
_symmetry_Int_Tables_number 225
_symmetry_space_group_name_Hall '-F 4 2 3'
_cell_length_a 19.7579
_cell_length_b 19.7579
_cell_length_c 19.7579
_cell_angle_alpha 90.00
_cell_angle_beta 90.00
_cell_angle_gamma 90.00
loop_
_atom_site_label
_atom_site_type_symbol
_atom_site_fract_x
_atom_site_fract_y
_atom_site_fract_z
_atom_site_occupancy
Cd1 Cd 0.0000 0.0000 0.0000 1
Pd1 Pd 0.0000 0.0000 0.2000 1
Pd2 Pd 0.0000 0.0000 0.4000 1
Pd3 Pd 0.0000 0.1000 0.3000 1
Pd4 Pd 0.0000 0.1007 0.1007 1
Pd5 Pd 0.0000 0.2003 0.2003 1
Pd6 Pd 0.1000 0.1000 0.2001 1
Pd7 Pd 0.1000 0.1000 0.4000 1
Pd8 Pd 0.1000 0.2000 0.3000 1
Pd9 Pd 0.2000 0.2000 0.2000 1
```

=====

# 4
Compound: CdPd2
Source: OQMD
Functional: GGA-PBE
Structure: relaxed

Formation enthalpy at 0 K in meV per atom: -318

Cell and atoms, written as CIF:
```
data_CdPd2
_chemical_formula_sum 'Cd8 Pd16'
_symmetry_space_group_name_H-M 'P 1'
_symmetry_Int_Tables_number 1
_cell_length_a 4.2098
_cell_length_b 5.6513
_cell_length_c 16.9180
_cell_angle_alpha 90.20
_cell_angle_beta 90.02
_cell_angle_gamma 90.03
loop_
_symmetry_equiv_pos_as_xyz
'x,y,z'
loop_
_atom_site_label
_atom_site_type_symbol
_atom_site_fract_x
_atom_site_fract_y
_atom_site_fract_z
_atom_site_occupancy
Cd1 Cd 0.0000 0.0000 0.0000 1
Cd2 Cd 0.0007 0.4041 0.5001 1
Cd3 Cd 0.0025 0.4085 0.1748 1
Cd4 Cd 0.0032 0.8941 0.3372 1
Cd5 Cd 0.4993 0.7032 0.5871 1
Cd6 Cd 0.5018 0.7040 0.0871 1
Cd7 Cd 0.9979 0.5112 0.8374 1
Cd8 Cd 0.9986 0.0018 0.6745 1
Pd1 Pd 0.0003 0.4927 0.0054 1
Pd2 Pd 0.0010 0.9109 0.5051 1
Pd3 Pd 0.0033 0.3934 0.3373 1
Pd4 Pd 0.0027 0.9157 0.1692 1
Pd5 Pd 0.4979 0.2618 0.7544 1
Pd6 Pd 0.4976 0.7598 0.7535 1
Pd7 Pd 0.4993 0.2597 0.9206 1
Pd8 Pd 0.4989 0.7578 0.9206 1
Pd9 Pd 0.4996 0.2035 0.5876 1
Pd10 Pd 0.5020 0.1420 0.4205 1
Pd11 Pd 0.5019 0.2041 0.0876 1
Pd12 Pd 0.5022 0.6440 0.4207 1
Pd13 Pd 0.5035 0.1481 0.2544 1
Pd14 Pd 0.5035 0.6502 0.2535 1
Pd15 Pd 0.9979 0.0119 0.8372 1
Pd16 Pd 0.9986 0.4945 0.6692 1
```

=====

# 5
Compound: Cd2Pd7
Source: OQMD
Functional: GGA-PBE
Structure: relaxed

Formation enthalpy at 0 K in meV per atom: -5

Cell and atoms, written as CIF:
```
data_Cd2Pd7
_chemical_formula_sum 'Cd2 Pd7'
_symmetry_space_group_name_H-M 'P -3 m 1'
_symmetry_Int_Tables_number 164
_symmetry_space_group_name_Hall '-P 3 2"'
_cell_length_a 2.8351
_cell_length_b 2.8351
_cell_length_c 30.1343
_cell_angle_alpha 90.00
_cell_angle_beta 90.00
_cell_angle_gamma 120.00
loop_
_atom_site_label
_atom_site_type_symbol
_atom_site_fract_x
_atom_site_fract_y
_atom_site_fract_z
_atom_site_occupancy
Cd1 Cd 0.3333 0.6667 0.3025 1
Pd1 Pd 0.0000 0.0000 0.0000 1
Pd2 Pd 0.0000 0.0000 0.2239 1
Pd3 Pd 0.3333 0.6667 0.0743 1
Pd4 Pd 0.3333 0.6667 0.8513 1
```

=====

# 6
Compound: CdPd15
Source: OQMD
Functional: GGA-PBE
Structure: relaxed

Formation enthalpy at 0 K in meV per atom: 8
ΔE to the lowest computed polymorph in meV/atom: 16.0

Cell and atoms, written as CIF:
```
data_CdPd15
_chemical_formula_sum 'Cd4 Pd60'
_symmetry_space_group_name_H-M 'P c c m'
_symmetry_Int_Tables_number 49
_cell_length_a 7.8877
_cell_length_b 44.8155
_cell_length_c 3.9536
_cell_angle_alpha 90.00
_cell_angle_beta 90.00
_cell_angle_gamma 90.00
loop_
_symmetry_equiv_pos_as_xyz
'x,y,z'
'-x,-y,-z'
'-x,-y,z'
'x,y,-z'
'x,-y,-z+1/2'
'-x,y,z+1/2'
'-x,y,-z+1/2'
'x,-y,z+1/2'
loop_
_atom_site_label
_atom_site_type_symbol
_atom_site_fract_x
_atom_site_fract_y
_atom_site_fract_z
_atom_site_occupancy
Cd1 Cd 0.1440 0.1661 0.0000 1
Pd1 Pd 0.1224 0.2122 0.5000 1
Pd2 Pd 0.1222 0.2578 0.0000 1
Pd3 Pd 0.1243 0.3023 0.5000 1
Pd4 Pd 0.1250 0.3462 0.0000 1
Pd5 Pd 0.1251 0.3901 0.5000 1
Pd6 Pd 0.1250 0.4340 0.0000 1
Pd7 Pd 0.1250 0.4780 0.5000 1
Pd8 Pd 0.3720 0.2583 0.5000 1
Pd9 Pd 0.3740 0.2148 0.0000 1
Pd10 Pd 0.3745 0.3020 0.0000 1
Pd11 Pd 0.3749 0.3460 0.5000 1
Pd12 Pd 0.3752 0.3900 0.0000 1
Pd13 Pd 0.3750 0.4340 0.5000 1
Pd14 Pd 0.3750 0.4780 0.0000 1
Pd15 Pd 0.3826 0.1699 0.5000 1
```

=====

# 7
Compound: CdPd15
Source: OQMD
Functional: GGA-PBE
Structure: relaxed

Formation enthalpy at 0 K in meV per atom: -8
ΔE to the lowest computed polymorph in meV/atom: 0.0

Cell and atoms, written as CIF:
```
data_CdPd15
_chemical_formula_sum 'Cd2 Pd30'
_symmetry_space_group_name_H-M 'P m m a'
_symmetry_Int_Tables_number 51
_cell_length_a 3.9368
_cell_length_b 3.9373
_cell_length_c 44.9819
_cell_angle_alpha 90.00
_cell_angle_beta 90.00
_cell_angle_gamma 90.00
loop_
_symmetry_equiv_pos_as_xyz
'x,y,z'
'-x,-y,-z'
'-x+1/2,-y,z'
'x+1/2,y,-z'
'x+1/2,-y,-z'
'-x+1/2,y,z'
'-x,y,-z'
'x,-y,z'
loop_
_atom_site_label
_atom_site_type_symbol
_atom_site_fract_x
_atom_site_fract_y
_atom_site_fract_z
_atom_site_occupancy
Cd1 Cd 0.2500 0.0000 0.1661 1
Pd1 Pd 0.2500 0.0000 0.2583 1
Pd2 Pd 0.2500 0.0000 0.3461 1
Pd3 Pd 0.2500 0.0000 0.4339 1
Pd4 Pd 0.2500 0.0000 0.5220 1
Pd5 Pd 0.2500 0.0000 0.6100 1
Pd6 Pd 0.2500 0.0000 0.6978 1
Pd7 Pd 0.2500 0.0000 0.7860 1
Pd8 Pd 0.2500 0.5000 0.2140 1
Pd9 Pd 0.2500 0.5000 0.3022 1
Pd10 Pd 0.2500 0.5000 0.3899 1
Pd11 Pd 0.2500 0.5000 0.4780 1
Pd12 Pd 0.2500 0.5000 0.5660 1
Pd13 Pd 0.2500 0.5000 0.6540 1
Pd14 Pd 0.2500 0.5000 0.7416 1
Pd15 Pd 0.2500 0.5000 0.8300 1
```

=====

# 8
Compound: PmCd2Pd
Source: OQMD
Functional: GGA-PBE
Structure: relaxed

Formation enthalpy at 0 K in meV per atom: -567
Size of the total moment in μB per atom: 0.000

Cell and atoms, written as CIF:
```
data_PmCd2Pd
_chemical_formula_sum 'Pm4 Cd8 Pd4'
_symmetry_space_group_name_H-M 'C m c m'
_symmetry_Int_Tables_number 63
_symmetry_space_group_name_Hall '-C 2c 2'
_cell_length_a 4.2063
_cell_length_b 10.0881
_cell_length_c 8.5299
_cell_angle_alpha 90.00
_cell_angle_beta 90.00
_cell_angle_gamma 90.00
loop_
_atom_site_label
_atom_site_type_symbol
_atom_site_fract_x
_atom_site_fract_y
_atom_site_fract_z
_atom_site_occupancy
Pm1 Pm 0.0000 0.0654 0.2500 1
Cd1 Cd 0.0000 0.3573 0.0465 1
Pd1 Pd 0.0000 0.2240 0.7500 1
```

=====

# 9
Compound: Pm2CdPd2
Source: OQMD
Functional: GGA-PBE
Structure: relaxed

Formation enthalpy at 0 K in meV per atom: -767
Size of the total moment in μB per atom: 0.000

Cell and atoms, written as CIF:
```
data_Pm2CdPd2
_chemical_formula_sum 'Pm4 Cd2 Pd4'
_symmetry_space_group_name_H-M 'P 4/m b m'
_symmetry_Int_Tables_number 127
_symmetry_space_group_name_Hall '-P 4 2ab'
_cell_length_a 7.7979
_cell_length_b 7.7979
_cell_length_c 3.8851
_cell_angle_alpha 90.00
_cell_angle_beta 90.00
_cell_angle_gamma 90.00
loop_
_atom_site_label
_atom_site_type_symbol
_atom_site_fract_x
_atom_site_fract_y
_atom_site_fract_z
_atom_site_occupancy
Pm1 Pm 0.1738 0.3262 0.0000 1
Cd1 Cd 0.0000 0.0000 0.5000 1
Pd1 Pd 0.1279 0.6279 0.5000 1
```

=====

# 10
Compound: Pr6Cd4Pd13
Source: OQMD
Functional: GGA-PBE
Structure: relaxed

Formation enthalpy at 0 K in meV per atom: -740
Size of the total moment in μB per atom: 0.000

Cell and atoms, written as CIF:
```
data_Pr6Cd4Pd13
_chemical_formula_sum 'Pr12 Cd8 Pd26'
_symmetry_space_group_name_H-M 'I m -3 m'
_symmetry_Int_Tables_number 229
_symmetry_space_group_name_Hall '-I 4 2 3'
_cell_length_a 9.8971
_cell_length_b 9.8971
_cell_length_c 9.8971
_cell_angle_alpha 90.00
_cell_angle_beta 90.00
_cell_angle_gamma 90.00
loop_
_atom_site_label
_atom_site_type_symbol
_atom_site_fract_x
_atom_site_fract_y
_atom_site_fract_z
_atom_site_occupancy
Pr1 Pr 0.0000 0.0000 0.3022 1
Cd1 Cd 0.2500 0.2500 0.2500 1
Pd1 Pd 0.0000 0.0000 0.0000 1
Pd2 Pd 0.0000 0.3407 0.3407 1
```

=====

# 11
Compound: Pr3Cd3PdPt2
Source: OQMD
Functional: GGA-PBE
Structure: relaxed

Formation enthalpy at 0 K in meV per atom: -803
Size of the total moment in μB per atom: 0.000

Cell and atoms, written as CIF:
```
data_Pr3Cd3PdPt2
_chemical_formula_sum 'Pr3 Cd3 Pd1 Pt2'
_symmetry_space_group_name_H-M 'P -6 2 m'
_symmetry_Int_Tables_number 189
_symmetry_space_group_name_Hall 'P -6 -2'
_cell_length_a 7.7653
_cell_length_b 7.7653
_cell_length_c 4.0418
_cell_angle_alpha 90.00
_cell_angle_beta 90.00
_cell_angle_gamma 120.00
loop_
_atom_site_label
_atom_site_type_symbol
_atom_site_fract_x
_atom_site_fract_y
_atom_site_fract_z
_atom_site_occupancy
Pr1 Pr 0.0000 0.5905 0.0000 1
Cd1 Cd 0.0000 0.2499 0.5000 1
Pd1 Pd 0.0000 0.0000 0.0000 1
Pt1 Pt 0.3333 0.6667 0.5000 1
```

=====

# 12
Compound: CdPd2Pt
Source: OQMD
Functional: GGA-PBE
Structure: relaxed

Formation enthalpy at 0 K in meV per atom: -181
Size of the total moment in μB per atom: 0.000

Cell and atoms, written as CIF:
```
data_CdPd2Pt
_chemical_formula_sum 'Cd4 Pd8 Pt4'
_symmetry_space_group_name_H-M 'F -4 3 m'
_symmetry_Int_Tables_number 216
_symmetry_space_group_name_Hall 'F -4 2 3'
_cell_length_a 6.4253
_cell_length_b 6.4253
_cell_length_c 6.4253
_cell_angle_alpha 90.00
_cell_angle_beta 90.00
_cell_angle_gamma 90.00
loop_
_atom_site_label
_atom_site_type_symbol
_atom_site_fract_x
_atom_site_fract_y
_atom_site_fract_z
_atom_site_occupancy
Cd1 Cd 0.0000 0.0000 0.0000 1
Pd1 Pd 0.0000 0.0000 0.5000 1
Pd2 Pd 0.2500 0.2500 0.2500 1
Pt1 Pt 0.2500 0.2500 0.7500 1
```

=====

# 13
Compound: RbCdPd
Source: OQMD
Functional: GGA-PBE
Structure: relaxed

ΔE to the lowest computed polymorph in meV/atom: 0.0

Cell and atoms, written as CIF:
```
data_RbCdPd
_chemical_formula_sum 'Rb4 Cd4 Pd4'
_symmetry_space_group_name_H-M 'F -4 3 m'
_symmetry_Int_Tables_number 216
_symmetry_space_group_name_Hall 'F -4 2 3'
_cell_length_a 7.2336
_cell_length_b 7.2336
_cell_length_c 7.2336
_cell_angle_alpha 90.00
_cell_angle_beta 90.00
_cell_angle_gamma 90.00
loop_
_atom_site_label
_atom_site_type_symbol
_atom_site_fract_x
_atom_site_fract_y
_atom_site_fract_z
_atom_site_occupancy
Rb1 Rb 0.0000 0.0000 0.0000 1
Cd1 Cd 0.0000 0.0000 0.5000 1
Pd1 Pd 0.2500 0.2500 0.7500 1
```